Density functional theory data (PBE-GGA) for a relaxed structure of Pr2CdGePd6.

- Crystal system: triclinic
- Formation enthalpy at 0 K: -5.9 eV per formula unit

a = 5.5585 Å, b = 6.4853 Å, c = 6.7886 Å
α = 73.71°, β = 65.94°, γ = 64.68°
With the nearest neighbours (Å) after each atom.
Positions (direct):
Pr 0.9997 0.2490 0.2523  7 Pd 2.91-3.24
Pr 0.0003 0.7510 0.7477  7 Pd 2.91-3.24
Cd 0.5000 0.0000 0.5000  6 Pd 2.66-2.78
Ge 0.5000 0.5000 0.0000  6 Pd 2.49-2.60
Pd 0.0156 0.6870 0.2872  1 Ge 2.60, 4 Pd 2.75-2.85, 1 Cd 2.78
Pd 0.3205 0.9284 0.9318  1 Ge 2.49, 1 Cd 2.66
Pd 0.4892 0.3141 0.7122  1 Ge 2.60, 4 Pd 2.75-2.85, 1 Cd 2.77
Pd 0.5108 0.6859 0.2878  1 Ge 2.60, 4 Pd 2.75-2.85, 1 Cd 2.77
Pd 0.6795 0.0716 0.0682  1 Ge 2.49, 1 Cd 2.66
Pd 0.9844 0.3130 0.7128  1 Ge 2.60, 4 Pd 2.75-2.85, 1 Cd 2.78

Density functional theory data (PBE-GGA) for a relaxed structure of PrCd2GePd2.

- Crystal system: tetragonal
- Formation enthalpy at 0 K: -1.3 eV per formula unit

a = 6.5433 Å, b = 6.5433 Å, c = 6.5433 Å
α = 132.81°, β = 132.81°, γ = 68.95°
With the nearest neighbours (Å) after each atom.
Positions (direct):
Pr 0.0000 0.0000 0.0000  2 Pd 3.04
Cd 0.2500 0.7500 0.5000  4 Pd 2.64
Cd 0.7500 0.2500 0.5000  4 Pd 2.64
Ge 0.5000 0.5000 0.0000  2 Pd 2.36
Pd 0.2813 0.2813 0.0000  1 Ge 2.36, 4 Cd 2.64
Pd 0.7187 0.7187 0.0000  1 Ge 2.36, 4 Cd 2.64

Density functional theory data (PBE-GGA) for a relaxed structure of Pr2CdGe4Pd3.

- Crystal system: tetragonal
- Formation enthalpy at 0 K: -7.2 eV per formula unit

a = 4.3547 Å, b = 4.3547 Å, c = 10.6607 Å
α = 90.00°, β = 90.00°, γ = 90.00°
With the nearest neighbours (Å) after each atom.
Positions (direct):
Pr 0.0000 0.5000 0.2416  8 Ge 3.30-3.37, 6 Pd 3.34-3.51, 2 Cd 3.51
Pr 0.5000 0.0000 0.7584  8 Ge 3.30-3.37, 6 Pd 3.34-3.51, 2 Cd 3.51
Cd 0.0000 0.0000 0.5000  4 Ge 2.69
Ge 0.0000 0.0000 0.0000  4 Pd 2.53
Ge 0.0000 0.5000 0.6482  3 Pd 2.46-2.69, 2 Cd 2.69
Ge 0.5000 0.0000 0.3518  3 Pd 2.46-2.69, 2 Cd 2.69
Ge 0.5000 0.5000 0.0000  4 Pd 2.53
Pd 0.0000 0.5000 0.8789  5 Ge 2.46-2.53
Pd 0.5000 0.0000 0.1211  5 Ge 2.46-2.53
Pd 0.5000 0.5000 0.5000  4 Ge 2.69

Density functional theory data (PBE-GGA) for a relaxed structure of PrCdGePd.

- Crystal system: cubic
- Formation enthalpy at 0 K: -2.0 eV per formula unit

a = 4.9634 Å, b = 4.9634 Å, c = 4.9634 Å
α = 60.00°, β = 60.00°, γ = 60.00°
With the nearest neighbours (Å) after each atom.
Positions (direct):
Pr 0.0000 0.0000 0.0000  4 Ge 3.04, 4 Pd 3.04
Cd 0.5000 0.5000 0.5000  4 Pd 3.04, 4 Ge 3.04
Ge 0.2500 0.2500 0.2500  4 Cd 3.04, 4 Pr 3.04
Pd 0.7500 0.7500 0.7500  4 Cd 3.04, 4 Pr 3.04

Density functional theory data (PBE-GGA) for a relaxed structure of Pr3CdGe6Pd2.

- Crystal system: trigonal
- Formation enthalpy at 0 K: -4.7 eV per formula unit

a = 6.0751 Å, b = 6.0751 Å, c = 8.4983 Å
α = 90.00°, β = 90.00°, γ = 120.00°
With the nearest neighbours (Å) after each atom.
Positions (direct):
Pr 0.0000 0.0000 0.0000  6 Ge 3.04
Pr 0.3333 0.6667 0.6160  9 Ge 3.21-3.31, 1 Pd 3.37
Pr 0.6667 0.3333 0.3840  9 Ge 3.21-3.31, 1 Pd 3.37
Cd 0.0000 0.0000 0.5000  6 Ge 2.83
Ge 0.1919 0.3839 0.2674  2 Ge 2.58, 1 Pd 2.63, 1 Cd 2.83
Ge 0.1919 0.8081 0.2674  2 Ge 2.58, 1 Pd 2.63, 1 Cd 2.83
Ge 0.3839 0.1919 0.7326  2 Ge 2.58, 1 Pd 2.63, 1 Cd 2.83
Ge 0.6161 0.8081 0.2674  2 Ge 2.58, 1 Pd 2.63, 1 Cd 2.83
Ge 0.8081 0.1919 0.7326  2 Ge 2.58, 1 Pd 2.63, 1 Cd 2.83
Ge 0.8081 0.6161 0.7326  2 Ge 2.58, 1 Pd 2.63, 1 Cd 2.83
Pd 0.3333 0.6667 0.0122  3 Ge 2.63
Pd 0.6667 0.3333 0.9878  3 Ge 2.63

Density functional theory data (PBE-GGA) for a relaxed structure of PrCdGe2Pd5.

- Crystal system: tetragonal
- Formation enthalpy at 0 K: -4.5 eV per formula unit

a = 4.3545 Å, b = 4.3545 Å, c = 8.8189 Å
α = 90.00°, β = 90.00°, γ = 90.00°
With the nearest neighbours (Å) after each atom.
Positions (direct):
Pr 0.0000 0.0000 0.0000  12 Pd 3.01-3.08
Cd 0.0000 0.0000 0.5000  8 Pd 3.19, 8 Ge 3.30
Ge 0.5000 0.5000 0.3641  1 Ge 2.40, 4 Pd 2.45
Ge 0.5000 0.5000 0.6359  1 Ge 2.40, 4 Pd 2.45
Pd 0.0000 0.5000 0.2361  2 Ge 2.45
Pd 0.0000 0.5000 0.7639  2 Ge 2.45
Pd 0.5000 0.0000 0.2361  2 Ge 2.45
Pd 0.5000 0.0000 0.7639  2 Ge 2.45
Pd 0.5000 0.5000 0.0000  8 Pd 3.01, 4 Pr 3.08, 2 Ge 3.21